Entry 1:
First-principles (PBE) data for an optimized crystal structure of Ce4SmTh3P8, as listed in Alexandria.

Results
As for the crystal system: trigonal. The calculation puts the total energy at -356.06 eV/cell. The calculation puts the density of states at the Fermi level at 63.18 states/eV per cell.

```
data_Ce4SmTh3P8
_cell_length_a 8.2316
_cell_length_b 8.2316
_cell_length_c 20.1639
_cell_angle_alpha 90.00
_cell_angle_beta 90.00
_cell_angle_gamma 120.00
_space_group_name_H-M_alt 'R -3 m'
_space_group_IT_number 166
_space_group_name_Hall '-R 3 2"'
loop_
_atom_site_label
_atom_site_fract_x
_atom_site_fract_y
_atom_site_fract_z
Ce1 0.0000 0.0000 0.0000
Ce2 0.0000 0.5000 0.0000
Sm1 0.0000 0.0000 0.5000
Th1 0.0000 0.5000 0.5000
P1 0.0000 0.0000 0.2510
P2 0.0002 0.5001 0.2509
```

Entry 2:
First-principles (PBE) data for an optimized crystal structure of Ce2SmThP4, as listed in Alexandria.

Results
As for the crystal system: monoclinic. The calculation puts the total energy at -58.01 eV/cell. The calculation puts the density of states at the Fermi level at 10.31 states/eV per cell.

```
data_Ce2SmThP4
_cell_length_a 7.1127
_cell_length_b 4.1132
_cell_length_c 7.1263
_cell_angle_alpha 90.00
_cell_angle_beta 109.48
_cell_angle_gamma 90.00
_space_group_name_H-M_alt 'P 1 2/m 1'
_space_group_IT_number 10
loop_
_space_group_symop_operation_xyz
'x,y,z'
'-x,-y,-z'
'-x,y,-z'
'x,-y,z'
loop_
_atom_site_label
_atom_site_fract_x
_atom_site_fract_y
_atom_site_fract_z
Ce1 0.0000 0.0000 0.0000
Ce2 0.5000 0.5000 0.0000
Sm1 0.0000 0.5000 0.5000
Th1 0.5000 0.0000 0.5000
P1 0.2488 0.5000 0.2475
P2 0.2512 0.0000 0.7529
```

Entry 3:
First-principles (PBE) data for an optimized crystal structure of CeSm2Th3P6, as listed in Alexandria.

Results
As for the crystal system: monoclinic. The calculation puts the total energy at -177.74 eV/cell. The calculation puts the density of states at the Fermi level at 17.60 states/eV per cell.

```
data_CeSm2Th3P6
_cell_length_a 7.1512
_cell_length_b 12.3855
_cell_length_c 7.1313
_cell_angle_alpha 90.00
_cell_angle_beta 109.52
_cell_angle_gamma 90.00
_space_group_name_H-M_alt 'C 1 2/m 1'
_space_group_IT_number 12
loop_
_space_group_symop_operation_xyz
'x,y,z'
'-x,-y,-z'
'-x,y,-z'
'x,-y,z'
'x+1/2,y+1/2,z'
'-x+1/2,-y+1/2,-z'
'-x+1/2,y+1/2,-z'
'x+1/2,-y+1/2,z'
loop_
_atom_site_label
_atom_site_fract_x
_atom_site_fract_y
_atom_site_fract_z
Ce1 0.0000 0.0000 0.0000
Sm1 0.0000 0.3333 0.0000
Th1 0.0000 0.1670 0.5000
Th2 0.0000 0.5000 0.5000
P1 0.2485 0.0000 0.7513
P2 0.2488 0.1657 0.2492
```

- Which of these has the highest total energy?
  Ce2SmThP4

- total energy of number 1 (Ce4SmTh3P8)?
  -356.06 eV/cell